6
Lattice="3.873 0.000 0.000 0.000 3.873 0.000 0.000 0.000 8.684" Properties=species:S:1:pos:R:3 comment="PBE TmAsSe, optimized geometry" dos_at_fermi_per_ev_cell=2.85 energy_ev_per_atom=-5.59 formation_energy_uncorrected_ev_per_atom=-1.388 space_group="P4/nmm (129)" pbc="T T T"
Tm 0.968 0.968 1.932
Tm 2.905 2.905 6.753
As 0.968 2.905 4.342
As 2.905 0.968 4.342
Se 0.968 0.968 7.607
Se 2.905 2.905 1.078